# 1
## La2Ga12Ir (PBE-GGA)

Data for a relaxed structure of La2Ga12Ir.

Values from the calculation:
- Energy relative to the elements: -0.467 eV per atom

Unit cell a=6.1731 b=6.1731 c=15.7421 alpha=90.00 beta=90.00 gamma=90.00
Element x y z (fractional)
La 0.5000 0.0000 0.2407
La 0.0000 0.5000 0.2407
La 0.0000 0.5000 0.7593
La 0.5000 0.0000 0.7593
Ga 0.5000 0.5000 0.8127
Ga 0.0000 0.0000 0.8127
Ga 0.7499 0.7501 0.9139
Ga 0.2499 0.7499 0.9139
Ga 0.0000 0.0000 0.3461
Ga 0.2501 0.7501 0.0861
Ga 0.8280 0.3280 0.5685
Ga 0.5000 0.5000 0.3461
Ga 0.2501 0.2499 0.9139
Ga 0.7501 0.7499 0.0861
Ga 0.3280 0.1720 0.5685
Ga 0.6720 0.1720 0.4315
Ga 0.0000 0.0000 0.6539
Ga 0.1720 0.3280 0.4315
Ga 0.2499 0.2501 0.0861
Ga 0.8280 0.6720 0.4315
Ga 0.6720 0.8280 0.5685
Ga 0.0000 0.0000 0.1873
Ga 0.1720 0.6720 0.5685
Ga 0.5000 0.5000 0.6539
Ga 0.7501 0.2501 0.9139
Ga 0.5000 0.5000 0.1873
Ga 0.3280 0.8280 0.4315
Ga 0.7499 0.2499 0.0861
Ir 0.5000 0.0000 0.0000
Ir 0.0000 0.5000 0.0000


# 2
## Gd2TiCd (PBE-GGA)

Data for a relaxed structure of Gd2TiCd.

Values from the calculation:
- E above lowest polymorph: 7.43 kJ per mole of atoms
- Energy relative to the elements: 0.057 eV per atom

Unit cell a=3.7972 b=5.2292 c=5.2292 alpha=90.00 beta=90.00 gamma=90.00
Element x y z (fractional)
Gd 0.0000 0.0000 0.5000
Gd 0.0000 0.5000 0.0000
Ti 0.5000 0.0000 0.0000
Cd 0.5000 0.5000 0.5000


# 3
## RbPuAsO6 (PBE-GGA)

Data for a relaxed structure of RbPuAsO6.

Values from the calculation:
- Formation energy without anion corrections: -1.820 eV/atom

Unit cell a=5.3389 b=5.3389 c=6.3741 alpha=90.00 beta=90.00 gamma=60.00
Element x y z (fractional)
Rb 0.0000 0.0000 0.0000
Pu 0.6666 0.6667 0.5000
As 0.3333 0.3333 0.5000
O 0.0282 0.3633 0.3320
O 0.3633 0.0282 0.6680
O 0.6085 0.3634 0.6680
O 0.0281 0.6085 0.6680
O 0.3633 0.6085 0.3320
O 0.6085 0.0282 0.3320


# 4
## BaY2Sc (PBE-GGA)

Data for a relaxed structure of BaY2Sc.

Values from the calculation:
- E above lowest polymorph: 5.34 kJ per mole of atoms
- Energy relative to the elements: 0.208 eV per atom

Unit cell a=3.6700 b=3.6700 c=10.5153 alpha=90.00 beta=90.00 gamma=90.02
Element x y z (fractional)
Ba 0.0000 0.0000 0.5116
Sc 0.5000 0.5000 0.7847
Y 0.0000 0.0000 0.9885
Y 0.5000 0.5000 0.2152


# 5
## Mn2TlAs (PBE-GGA)

Data for a relaxed structure of Mn2TlAs.

Values from the calculation:
- E above lowest polymorph: 27.19 kJ per mole of atoms
- Energy relative to the elements: 0.481 eV per atom

Unit cell a=4.6077 b=4.6077 c=8.8824 alpha=74.97 beta=74.97 gamma=90.00
Element x y z (fractional)
Tl 0.0000 0.0000 0.0000
Tl 0.7500 0.2500 0.5000
Mn 0.5340 0.1250 0.2500
Mn 0.2160 0.6250 0.2500
Mn 0.3750 0.4660 0.7500
Mn 0.8750 0.7840 0.7500
As 0.5000 0.5000 0.0000
As 0.2500 0.7500 0.5000


# 6
## ZnRhAu2 (PBE-GGA)

Data for a relaxed structure of ZnRhAu2.

Values from the calculation:
- Energy relative to the elements: 0.018 eV per atom

Unit cell a=9.1704 b=9.1704 c=9.1704 alpha=18.07 beta=18.07 gamma=18.07
Element x y z (fractional)
Au 0.0024 0.0024 0.0024
Au 0.4976 0.4976 0.4976
Rh 0.2500 0.2500 0.2500
Zn 0.7500 0.7500 0.7500


# 7
## CaSn3F (PBE-GGA)

Data for a relaxed structure of CaSn3F.

Values from the calculation:
- E above lowest polymorph: 0.00 kJ per mole of atoms
- Formation energy without anion corrections: -0.686 eV/atom

Unit cell a=5.0195 b=5.0195 c=5.0195 alpha=90.00 beta=90.00 gamma=90.00
Element x y z (fractional)
Ca 0.5000 0.5000 0.5000
Sn 0.0000 0.5000 0.0000
Sn 0.0000 0.0000 0.5000
Sn 0.5000 0.0000 0.0000
F 0.0000 0.0000 0.0000


# 8
## LaRu (PBE-GGA)

Data for a relaxed structure of LaRu.

Values from the calculation:
- Energy relative to the elements: 0.255 eV per atom

Unit cell a=3.6796 b=3.6796 c=4.0672 alpha=90.00 beta=90.00 gamma=120.00
Element x y z (fractional)
La 0.0000 0.0000 0.0000
Ru 0.3333 0.6667 0.5000